1.
The following is a DFT calculation (GGA-PBE) of a relaxed structure of AlTe2Pt.

Unit cell a=7.1038 b=7.1038 c=7.1038 alpha=148.18 beta=147.63 gamma=46.03
Fractional coordinates of all 4 atoms:
Te (0.8992, 0.8992, 0.0000)
Te (0.6008, 0.6008, 0.0000)
Al (0.2500, 0.7500, 0.5000)
Pt (0.7500, 0.2500, 0.5000)

Calculated values
SG ... Immm
DOS(E_F) ... 1.76 states/eV/f.u.
Volume ... 100.85 Å³/cell
Uncorrected formation energy ... -33.01 kJ/mol of atoms
Total magnetization ... 0.00 μB per formula unit

---

2.
The following is a DFT calculation (GGA-PBE) of a relaxed structure of Zr2VS2.

Unit cell a=4.9364 b=4.9364 c=5.5130 alpha=63.40 beta=63.40 gamma=90.00
Each line ends with the local moment (μB).
Fractional coordinates of all 5 atoms:
S (0.7500, 0.2500, 0.5000)  0.02
S (0.2500, 0.7500, 0.5000)  0.02
Zr (0.3328, 0.3328, 0.3343)  -0.25
Zr (0.6672, 0.6672, 0.6657)  -0.25
V (0.0000, 0.0000, 0.0000)  2.77

Calculated values
SG ... I4/mmm
Distance to the lowest polymorph of the same formula ... 683 meV/atom
DOS(E_F) ... 6.25 states/eV/f.u.
Volume ... 103.99 Å³/cell
Uncorrected formation energy ... -25.19 kJ/mol of atoms
Total magnetization ... 2.59 μB per formula unit

---

3.
The following is a DFT calculation (GGA-PBE) of a relaxed structure of La2TbZn.

Unit cell a=3.7455 b=3.7455 c=8.7980 alpha=90.00 beta=90.00 gamma=90.00
Fractional coordinates of all 4 atoms:
Zn (0.5000, 0.5000, 0.0000)
Tb (0.5000, 0.5000, 0.5000)
La (0.0000, 0.0000, 0.7871)
La (0.0000, 0.0000, 0.2129)

Calculated values
ΔE_f ... -132 meV per atom
SG ... P4/mmm
Distance to the lowest polymorph of the same formula ... 25 meV/atom
DOS(E_F) ... 5.07 states/eV/f.u.
Volume ... 123.42 Å³/cell
Total magnetization ... 0.00 μB per formula unit

---

4.
The following is a DFT calculation (GGA-PBE) of a relaxed structure of LiCuRu.

Unit cell a=4.0169 b=4.0169 c=4.0169 alpha=60.00 beta=60.00 gamma=60.00
Each line ends with the local moment (μB).
Fractional coordinates of all 3 atoms:
Cu (0.2500, 0.2500, 0.2500)  0.28
Li (0.0000, 0.0000, 0.0000)  -0.02
Ru (0.5000, 0.5000, 0.5000)  1.62

Calculated values
ΔE_f ... 700 meV per atom
SG ... F-43m
Distance to the lowest polymorph of the same formula ... 607 meV/atom
DOS(E_F) ... 2.29 states/eV/f.u.
Volume ... 45.83 Å³/cell
Total magnetization ... 1.89 μB per formula unit

---

5.
The following is a DFT calculation (GGA-PBE) of a relaxed structure of Li2CaTl8.

Unit cell a=5.4794 b=7.9651 c=7.9651 alpha=113.45 beta=99.60 gamma=99.60
Fractional coordinates of all 11 atoms:
Li (0.0000, 0.3106, 0.6894)
Li (0.0000, 0.6894, 0.3106)
Ca (0.5000, 0.0000, 0.0000)
Tl (0.8968, 0.9204, 0.6732)
Tl (0.8968, 0.6732, 0.9204)
Tl (0.3085, 0.6070, 0.6070)
Tl (0.5000, 0.7534, 0.2466)
Tl (0.5000, 0.2466, 0.7534)
Tl (0.6915, 0.3930, 0.3930)
Tl (0.1032, 0.3268, 0.0796)
Tl (0.1032, 0.0796, 0.3268)

Calculated values
ΔE_f ... -96 meV per atom
SG ... C2/m
Distance to the lowest polymorph of the same formula ... 40 meV/atom
DOS(E_F) ... 5.41 states/eV/f.u.
Volume ... 303.82 Å³/cell
Total magnetization ... 0.00 μB per formula unit

---

6.
The following is a DFT calculation (GGA-PBE) of a relaxed structure of TlFeBr2Cl.

Unit cell a=6.4152 b=4.2141 c=6.4152 alpha=90.00 beta=90.00 gamma=90.00
Each line ends with the local moment (μB).
Fractional coordinates of all 5 atoms:
Tl (0.5000, 0.5000, 0.5000)  0.00
Fe (0.0000, 0.5000, 0.0000)  3.23
Br (0.0000, 0.0000, 0.5000)  0.15
Br (0.5000, 0.0000, 0.0000)  0.11
Cl (0.0000, 0.0000, 0.0000)  0.20

Calculated values
SG ... P4/mmm
Distance to the lowest polymorph of the same formula ... 568 meV/atom
DOS(E_F) ... 8.11 states/eV/f.u.
Volume ... 173.43 Å³/cell
Uncorrected formation energy ... -2.75 kJ/mol of atoms
Total magnetization ... 4.00 μB per formula unit

---

7.
The following is a DFT calculation (GGA-PBE) of a relaxed structure of MgSb2W.

Unit cell a=7.5077 b=7.5077 c=7.5077 alpha=153.45 beta=150.67 gamma=39.97
Fractional coordinates of all 4 atoms:
Mg (0.3033, 0.8033, 0.5000)
Sb (0.9635, 0.9635, 0.0000)
Sb (0.6912, 0.1912, 0.5000)
W (0.5420, 0.5420, 0.0000)

Calculated values
SG ... Imm2
Distance to the lowest polymorph of the same formula ... 90 meV/atom
DOS(E_F) ... 3.53 states/eV/f.u.
Volume ... 92.47 Å³/cell
Uncorrected formation energy ... 30.79 kJ/mol of atoms
Total magnetization ... 0.00 μB per formula unit

---

8.
The following is a DFT calculation (GGA-PBE) of a relaxed structure of Li2La3Ge4.

Unit cell a=4.4149 b=6.0566 c=8.6395 alpha=102.83 beta=90.00 gamma=111.35
Fractional coordinates of all 9 atoms:
Li (0.6316, 0.2631, 0.3017)
Li (0.3684, 0.7369, 0.6983)
La (0.6539, 0.3080, 0.6736)
La (0.0000, 0.0000, 0.0000)
La (0.3461, 0.6920, 0.3264)
Ge (0.7107, 0.4225, 0.0535)
Ge (0.2893, 0.5775, 0.9465)
Ge (0.9351, 0.8706, 0.6062)
Ge (0.0649, 0.1294, 0.3938)

Calculated values
ΔE_f ... -732 meV per atom
SG ... C2/m
DOS(E_F) ... 3.78 states/eV/f.u.
Volume ... 208.95 Å³/cell
Total magnetization ... 0.00 μB per formula unit

---

9.
The following is a DFT calculation (GGA-PBE) of a relaxed structure of CsKBr2Cl.

Unit cell a=6.5224 b=5.9450 c=6.5224 alpha=90.00 beta=90.00 gamma=90.00
Each line ends with the local moment (μB).
Fractional coordinates of all 5 atoms:
Cs (0.0000, 0.5000, 0.0000)  0.00
K (0.5000, 0.5000, 0.5000)  0.00
Br (0.0000, 0.0000, 0.5000)  0.08
Br (0.5000, 0.0000, 0.0000)  0.03
Cl (0.0000, 0.0000, 0.0000)  0.08

Calculated values
SG ... P4/mmm
DOS(E_F) ... 4.23 states/eV/f.u.
Volume ... 252.91 Å³/cell
Uncorrected formation energy ... -89.23 kJ/mol of atoms
Total magnetization ... 0.24 μB per formula unit

---

10.
The following is a DFT calculation (GGA-PBE) of a relaxed structure of Cs3Ac3BiS8.

Unit cell a=8.7545 b=8.7528 c=9.6967 alpha=116.85 beta=90.00 gamma=120.00
Fractional coordinates of all 15 atoms:
Cs (0.0000, 0.0000, 0.0000)
Cs (0.0000, 0.5000, 0.0000)
Cs (0.5000, 0.5000, 0.0000)
Ac (0.5000, 0.0000, 0.5000)
Ac (0.5000, 0.5000, 0.5000)
Ac (0.0000, 0.5000, 0.5000)
Bi (0.0000, 0.0000, 0.5000)
S (0.2699, 0.5398, 0.3097)
S (0.7301, 0.4602, 0.6903)
S (0.7840, 0.5680, 0.3168)
S (0.2160, 0.4320, 0.6832)
S (0.7840, 0.0327, 0.3168)
S (0.2160, 0.9673, 0.6832)
S (0.2487, 0.0327, 0.3169)
S (0.7513, 0.9673, 0.6831)

Calculated values
SG ... R-3m
DOS(E_F) ... 7.38 states/eV/f.u.
Volume ... 549.00 Å³/cell
Uncorrected formation energy ... -145.26 kJ/mol of atoms
Total magnetization ... 0.00 μB per formula unit

---

11.
The following is a DFT calculation (GGA-PBE) of a relaxed structure of SrAsPSe2.

Unit cell a=5.1247 b=5.1247 c=4.7145 alpha=90.00 beta=90.00 gamma=90.00
Fractional coordinates of all 5 atoms:
Sr (0.5000, 0.5000, 0.5000)
As (0.0000, 0.0000, 0.5000)
Se (0.0000, 0.5000, 0.0000)
Se (0.5000, 0.0000, 0.0000)
P (0.0000, 0.0000, 0.0000)

Calculated values
SG ... P4/mmm
Distance to the lowest polymorph of the same formula ... 0 meV/atom
DOS(E_F) ... 4.86 states/eV/f.u.
Volume ... 123.81 Å³/cell
Uncorrected formation energy ... -37.35 kJ/mol of atoms
Total magnetization ... 0.00 μB per formula unit

---

12.
The following is a DFT calculation (GGA-PBE) of a relaxed structure of Rb2AlClF6.

Unit cell a=6.7860 b=6.7860 c=6.1693 alpha=56.63 beta=56.63 gamma=90.00
Fractional coordinates of all 10 atoms:
F (0.2436, 0.2436, 0.5127)
F (0.7564, 0.7564, 0.4873)
F (0.3145, 0.3145, 0.0000)
F (0.6855, 0.6855, 0.0000)
F (0.6855, 0.3145, 0.0000)
F (0.3145, 0.6855, 0.0000)
Al (0.5000, 0.5000, 0.0000)
Rb (0.7500, 0.2500, 0.5000)
Rb (0.2500, 0.7500, 0.5000)
Cl (0.0000, 0.0000, 0.0000)

Calculated values
SG ... I4/mmm
DOS(E_F) ... 0.00 states/eV/f.u.
Volume ... 178.56 Å³/cell
Uncorrected formation energy ... -250.68 kJ/mol of atoms
Total magnetization ... 0.00 μB per formula unit